Entry from Alexandria via LeMat-Bulk: a relaxed Be2WF crystal (PBE+U).

Output
Space-group type: Fm-3m
Density, g/cm³: 7.57
Raw total energy, eV per formula unit: -13.8

Cell and atoms, written as POSCAR:
```
Be2WF
1.0
-3.345 -2.304 -0.501
-2.915 1.168 -2.624
-0.559 -2.065 -3.489
Be W F
2 1 1
Direct
0.250 0.250 0.250
0.750 0.750 0.750
0.500 0.500 0.500
0.000 0.000 0.000
```